1.
{"formula": "Ba2LaRh", "functional": "PBE-GGA", "state": "relaxed", "lattice": [[2.084, 1.203, 10.843], [-2.084, 1.203, 10.843], [0.000, -2.406, 10.843]], "species": ["Ba", "Ba", "La", "Rh"], "fractional_positions": [[0.223, 0.223, 0.223], [0.777, 0.777, 0.777], [0.000, 0.000, 0.000], [0.500, 0.500, 0.500]], "e_above_lowest_polymorph_mev_per_atom": 471.0, "delta_e_f_ev_per_atom": 0.14, "spacegroup": "R-3m"}



2.
{"formula": "Np2FeIr9", "functional": "PBE-GGA", "state": "relaxed", "lattice": [[3.984, 0.000, 0.000], [0.000, 3.984, 0.000], [0.000, 0.000, 11.921]], "species": ["Np", "Np", "Fe", "Ir", "Ir", "Ir", "Ir", "Ir", "Ir", "Ir", "Ir", "Ir"], "fractional_positions": [[0.000, 0.000, 0.173], [0.000, 0.000, 0.827], [0.000, 0.000, 0.500], [0.000, 0.500, 0.000], [0.000, 0.500, 0.344], [0.000, 0.500, 0.656], [0.500, 0.000, 0.000], [0.500, 0.000, 0.344], [0.500, 0.000, 0.656], [0.500, 0.500, 0.172], [0.500, 0.500, 0.500], [0.500, 0.500, 0.828]], "delta_e_f_ev_per_atom": -0.24, "spacegroup": "P4/mmm"}



3.
{"formula": "HfTcIr2Br", "functional": "PBE-GGA", "state": "relaxed", "lattice": [[4.889, 0.000, 0.000], [0.000, 4.889, 0.000], [0.000, 0.000, 5.126]], "species": ["Hf", "Tc", "Ir", "Ir", "Br"], "fractional_positions": [[0.000, 0.000, 0.000], [0.000, 0.000, 0.500], [0.000, 0.500, 0.000], [0.500, 0.000, 0.000], [0.500, 0.500, 0.500]], "spacegroup": "P4/mmm"}



4.
{"formula": "Ac6IrPd2Cl3", "functional": "PBE-GGA", "state": "relaxed", "lattice": [[10.185, -2.204, 0.000], [10.185, 2.204, 0.000], [-3.042, 0.000, 8.946]], "species": ["Ac", "Ac", "Ac", "Ac", "Ac", "Ac", "Ir", "Pd", "Pd", "Cl", "Cl", "Cl"], "fractional_positions": [[0.008, 0.008, 0.217], [0.325, 0.325, 0.441], [0.347, 0.347, 0.897], [0.653, 0.653, 0.103], [0.675, 0.675, 0.559], [0.992, 0.992, 0.783], [0.500, 0.500, 0.000], [0.168, 0.168, 0.334], [0.832, 0.832, 0.666], [0.165, 0.165, 0.826], [0.500, 0.500, 0.500], [0.835, 0.835, 0.174]], "spacegroup": "C2/m"}



5.
{"formula": "BaSr5Cd4", "functional": "PBE-GGA", "state": "relaxed", "lattice": [[4.112, 0.000, 0.000], [0.000, 4.112, 0.000], [0.000, 0.000, 22.645]], "species": ["Ba", "Sr", "Sr", "Sr", "Sr", "Sr", "Cd", "Cd", "Cd", "Cd"], "fractional_positions": [[0.000, 0.000, 0.000], [0.500, 0.500, 0.149], [0.500, 0.500, 0.324], [0.500, 0.500, 0.500], [0.500, 0.500, 0.676], [0.500, 0.500, 0.851], [0.000, 0.000, 0.234], [0.000, 0.000, 0.413], [0.000, 0.000, 0.587], [0.000, 0.000, 0.766]], "delta_e_f_ev_per_atom": -0.26, "spacegroup": "P4/mmm"}



6.
{"formula": "Rb2Np3PdO12", "functional": "PBE-GGA", "state": "relaxed", "lattice": [[3.949, 2.280, 5.995], [-3.949, 2.280, 5.995], [0.000, -4.560, 5.995]], "species": ["Rb", "Rb", "Np", "Np", "Np", "Pd", "O", "O", "O", "O", "O", "O", "O", "O", "O", "O", "O", "O"], "fractional_positions": [[0.127, 0.127, 0.127], [0.873, 0.873, 0.873], [0.000, 0.500, 0.500], [0.500, 0.000, 0.500], [0.500, 0.500, 0.000], [0.500, 0.500, 0.500], [0.179, 0.566, 0.566], [0.181, 0.181, 0.566], [0.181, 0.566, 0.181], [0.434, 0.434, 0.821], [0.434, 0.819, 0.819], [0.434, 0.821, 0.434], [0.566, 0.179, 0.566], [0.566, 0.181, 0.181], [0.566, 0.566, 0.179], [0.819, 0.434, 0.819], [0.819, 0.819, 0.434], [0.821, 0.434, 0.434]], "spacegroup": "R-3m"}



7.
{"formula": "La2TbTm", "functional": "PBE-GGA", "state": "relaxed", "lattice": [[1.826, 1.054, 11.678], [-1.826, 1.054, 11.678], [0.000, -2.108, 11.678]], "species": ["La", "La", "Tb", "Tm"], "fractional_positions": [[0.249, 0.249, 0.249], [0.751, 0.751, 0.751], [0.000, 0.000, 0.000], [0.500, 0.500, 0.500]], "e_above_lowest_polymorph_mev_per_atom": 0.0, "delta_e_f_ev_per_atom": 0.01, "spacegroup": "R-3m"}



8.
{"formula": "Cr2Ag5Cl12", "functional": "PBE-GGA", "state": "relaxed", "lattice": [[7.148, -3.555, 0.000], [7.148, 3.555, 0.000], [-2.635, 0.000, 9.162]], "species": ["Cr", "Cr", "Ag", "Ag", "Ag", "Ag", "Ag", "Cl", "Cl", "Cl", "Cl", "Cl", "Cl", "Cl", "Cl", "Cl", "Cl", "Cl", "Cl"], "fractional_positions": [[0.250, 0.750, 0.000], [0.750, 0.250, 0.000], [0.000, 0.000, 0.500], [0.266, 0.266, 0.287], [0.298, 0.298, 0.626], [0.702, 0.702, 0.374], [0.734, 0.734, 0.713], [0.032, 0.032, 0.853], [0.097, 0.574, 0.869], [0.112, 0.620, 0.459], [0.380, 0.888, 0.541], [0.426, 0.903, 0.131], [0.469, 0.469, 0.149], [0.531, 0.531, 0.851], [0.574, 0.097, 0.869], [0.620, 0.112, 0.459], [0.888, 0.380, 0.541], [0.903, 0.426, 0.131], [0.968, 0.968, 0.147]], "spacegroup": "C2/m"}



9.
{"formula": "ScMnBe", "functional": "PBE-GGA", "state": "relaxed", "lattice": [[0.000, 2.884, 2.884], [2.884, 0.000, 2.884], [2.884, 2.884, 0.000]], "species": ["Sc", "Mn", "Be"], "fractional_positions": [[0.000, 0.000, 0.000], [0.500, 0.500, 0.500], [0.250, 0.250, 0.250]], "e_above_lowest_polymorph_mev_per_atom": 467.5, "delta_e_f_ev_per_atom": 0.34, "spacegroup": "F-43m"}



10.
{"formula": "Pr2Mg12Tl7", "functional": "PBE-GGA", "state": "relaxed", "lattice": [[11.688, 0.000, 0.000], [-5.844, 10.122, 0.000], [0.000, 0.000, 4.522]], "species": ["Pr", "Pr", "Mg", "Mg", "Mg", "Mg", "Mg", "Mg", "Mg", "Mg", "Mg", "Mg", "Mg", "Mg", "Tl", "Tl", "Tl", "Tl", "Tl", "Tl", "Tl"], "fractional_positions": [[0.333, 0.667, 0.265], [0.667, 0.333, 0.735], [0.040, 0.429, 0.750], [0.108, 0.267, 0.247], [0.160, 0.892, 0.247], [0.267, 0.160, 0.753], [0.389, 0.960, 0.750], [0.429, 0.389, 0.250], [0.571, 0.611, 0.750], [0.611, 0.040, 0.250], [0.733, 0.840, 0.247], [0.840, 0.108, 0.753], [0.892, 0.733, 0.753], [0.960, 0.571, 0.250], [0.000, 0.000, 0.500], [0.140, 0.712, 0.754], [0.288, 0.427, 0.754], [0.427, 0.140, 0.246], [0.573, 0.860, 0.754], [0.712, 0.573, 0.246], [0.860, 0.288, 0.246]], "delta_e_f_ev_per_atom": -0.11, "spacegroup": "P-3"}



11.
{"formula": "LiTa2Br", "functional": "PBE-GGA", "state": "relaxed", "lattice": [[0.000, 3.226, 3.226], [3.226, 0.000, 3.226], [3.226, 3.226, 0.000]], "species": ["Li", "Ta", "Ta", "Br"], "fractional_positions": [[0.000, 0.000, 0.000], [0.250, 0.250, 0.250], [0.750, 0.750, 0.750], [0.500, 0.500, 0.500]], "e_above_lowest_polymorph_mev_per_atom": 938.1, "spacegroup": "Fm-3m"}



12.
{"formula": "Sm4TlSbTe2", "functional": "PBE-GGA", "state": "relaxed", "lattice": [[7.783, 0.000, 0.000], [0.000, 4.395, 0.000], [-2.497, 0.000, 7.377]], "species": ["Sm", "Sm", "Sm", "Sm", "Tl", "Sb", "Te", "Te"], "fractional_positions": [[0.248, 0.000, 0.240], [0.251, 0.500, 0.755], [0.749, 0.500, 0.245], [0.752, 0.000, 0.760], [0.500, 0.000, 0.000], [0.000, 0.500, 0.000], [0.000, 0.000, 0.500], [0.500, 0.500, 0.500]], "spacegroup": "P2/m"}



| no. | magnetization (μB/cell) | D(E_F) (states/eV per atom) | electronic total energy (eV/cell) |
| --- | --- | --- | --- |
| 1 | 0.0 | 1.15 | -15.575 |
| 2 | 7.1 | 1.62 | -116.922 |
| 3 | 4.1 | 1.57 | -30.902 |
| 4 | 0.0 | 0.68 | -64.146 |
| 5 | 0.0 | 1.07 | -16.573 |
| 6 | 3.0 | 0.72 | -145.870 |
| 7 | 0.0 | 1.27 | -18.899 |
| 8 | 5.8 | 0.20 | -68.706 |
| 9 | 2.0 | 0.94 | -18.203 |
| 10 | 0.0 | 0.42 | -47.653 |
| 11 | 0.0 | 1.37 | -23.307 |
| 12 | 0.0 | 0.35 | -40.408 |